No. 1
Below is a relaxed structure of Pr8Te4Ir3Br, with properties calculated at the PBE level.

Results
The value obtained for the formation energy (no corrections) is -1.103 eV/atom.

Structure (CIF):
```
data_Pr8Te4Ir3Br
_cell_length_a 9.0394
_cell_length_b 9.0394
_cell_length_c 9.0394
_cell_angle_alpha 57.33
_cell_angle_beta 57.33
_cell_angle_gamma 57.33
_space_group_name_H-M_alt 'P 1'
_space_group_IT_number 1
_space_group_name_Hall 'P 1'
loop_
_atom_site_label
_atom_site_type_symbol
_atom_site_fract_x
_atom_site_fract_y
_atom_site_fract_z
Pr1 Pr 0.2155 0.7511 0.7511
Pr2 Pr 0.2356 0.2356 0.2356
Pr3 Pr 0.2489 0.2489 0.7845
Pr4 Pr 0.2489 0.7845 0.2489
Pr5 Pr 0.7511 0.2155 0.7511
Pr6 Pr 0.7511 0.7511 0.2155
Pr7 Pr 0.7644 0.7644 0.7644
Pr8 Pr 0.7845 0.2489 0.2489
Te1 Te 0.0000 0.0000 0.0000
Te2 Te 0.0000 0.5000 0.5000
Te3 Te 0.5000 0.0000 0.5000
Te4 Te 0.5000 0.5000 0.0000
Ir1 Ir 0.0000 0.0000 0.5000
Ir2 Ir 0.0000 0.5000 0.0000
Ir3 Ir 0.5000 0.0000 0.0000
Br1 Br 0.5000 0.5000 0.5000
```

=====

No. 2
Below is a relaxed structure of Pr8ZnIr3Br4, with properties calculated at the PBE level.

Results
The value obtained for the formation energy (no corrections) is -0.980 eV/atom.

Structure (CIF):
```
data_Pr8ZnIr3Br4
_cell_length_a 9.2209
_cell_length_b 9.2209
_cell_length_c 9.2209
_cell_angle_alpha 54.64
_cell_angle_beta 54.64
_cell_angle_gamma 54.64
_space_group_name_H-M_alt 'P 1'
_space_group_IT_number 1
_space_group_name_Hall 'P 1'
loop_
_atom_site_label
_atom_site_type_symbol
_atom_site_fract_x
_atom_site_fract_y
_atom_site_fract_z
Pr1 Pr 0.2193 0.7393 0.7393
Pr2 Pr 0.2328 0.2328 0.2328
Pr3 Pr 0.2607 0.2607 0.7807
Pr4 Pr 0.2607 0.7807 0.2607
Pr5 Pr 0.7393 0.2193 0.7393
Pr6 Pr 0.7393 0.7393 0.2193
Pr7 Pr 0.7672 0.7672 0.7672
Pr8 Pr 0.7807 0.2607 0.2607
Zn1 Zn 0.5000 0.5000 0.5000
Ir1 Ir 0.0000 0.0000 0.5000
Ir2 Ir 0.0000 0.5000 0.0000
Ir3 Ir 0.5000 0.0000 0.0000
Br1 Br 0.0000 0.0000 0.0000
Br2 Br 0.0000 0.5000 0.5000
Br3 Br 0.5000 0.0000 0.5000
Br4 Br 0.5000 0.5000 0.0000
```

=====

No. 3
Below is a relaxed structure of IrPtBr2, with properties calculated at the PBE level.

Results
The value obtained for the formation energy (no corrections) is 0.879 eV/atom.

Structure (CIF):
```
data_IrPtBr2
_cell_length_a 3.3208
_cell_length_b 4.3713
_cell_length_c 5.2615
_cell_angle_alpha 90.00
_cell_angle_beta 93.60
_cell_angle_gamma 90.00
_space_group_name_H-M_alt 'P 1'
_space_group_IT_number 1
_space_group_name_Hall 'P 1'
loop_
_atom_site_label
_atom_site_type_symbol
_atom_site_fract_x
_atom_site_fract_y
_atom_site_fract_z
Ir1 Ir 0.0000 0.0000 0.0000
Pt1 Pt 0.5000 0.0000 0.5000
Br1 Br 0.2326 0.5000 0.2452
Br2 Br 0.7674 0.5000 0.7548
```